# ZrRe3Pt

A relaxed ZrRe3Pt crystal (PBE-GGA, the Alexandria database).

Geometry as extended XYZ:
```
5
Lattice="4.7369 0.0000 0.0000 0.0000 4.7369 0.0000 0.0000 0.0000 4.7369" Properties=species:S:1:pos:R:3 pbc="T T T"
Re 0.0000 0.0000 2.3685
Re 2.3685 0.0000 0.0000
Zr 2.3685 2.3685 2.3685
Re 0.0000 2.3685 0.0000
Pt 0.0000 0.0000 0.0000
```

Its relative energy among the computed polymorphs is 0.00 kcal/mol of atoms. As for the calculated formation energy: 1.90 eV/atom.